The following is a DFT calculation (PBE) of a relaxed ZnCrCo2 crystal.

a b c (Å): 6.3621 6.3621 5.0412
angles (deg): 90.00 90.00 90.00
Space group I-42d (No. 122)
One atom of each set of equivalent atoms:
Zn (0.0000, 0.0000, 0.0000)
Cr (0.0000, 0.0000, 0.5000)
Co (0.2067, 0.7500, 0.6250)

Results
As for the density of states at the Fermi level: 12.56 states/eV/cell. As for the raw total energy: -5.7555 eV per atom. For the energy of formation, the calculation gives 521.7 meV/atom.

***

The following is a DFT calculation (PBE) of a relaxed ZnCrCo2 crystal.

a b c (Å): 2.5359 2.5359 25.1224
angles (deg): 90.00 90.00 120.00
Space group R3m (No. 160, hexagonal axes)
One atom of each set of equivalent atoms:
Zn (0.0000, 0.0000, 0.0000)
Cr (0.0000, 0.0000, 0.2426)
Co (0.0000, 0.0000, 0.4984)
Co (0.0000, 0.0000, 0.7523)

Results
As for the density of states at the Fermi level: 12.44 states/eV/cell. As for the raw total energy: -6.1510 eV per atom. For the energy of formation, the calculation gives 126.3 meV/atom.

***

The following is a DFT calculation (PBE) of a relaxed ZnCr2Co crystal.

a b c (Å): 2.9046 4.0173 8.1795
angles (deg): 90.00 90.00 90.00
Space group Cmm2 (No. 35)
One atom of each set of equivalent atoms:
Zn (0.0000, 0.0000, 0.0000)
Cr (0.0000, 0.0000, 0.4928)
Cr (0.0000, 0.5000, 0.7320)
Co (0.0000, 0.5000, 0.2558)

Results
As for the density of states at the Fermi level: 8.04 states/eV/cell. As for the raw total energy: -6.7997 eV per atom. For the energy of formation, the calculation gives 106.9 meV/atom.

***

The following is a DFT calculation (PBE) of a relaxed ZnCr2Co crystal.

a b c (Å): 2.4838 4.0524 4.6885
angles (deg): 90.00 95.76 90.00
Space group Pm (No. 6)
One atom of each set of equivalent atoms:
Zn (0.0000, 0.0000, 0.0000)
Cr (0.4008, 0.5000, 0.7635)
Cr (0.5490, 0.0000, 0.4965)
Co (0.9199, 0.5000, 0.2828)

Results
As for the density of states at the Fermi level: 4.21 states/eV/cell. As for the raw total energy: -6.7357 eV per atom. For the energy of formation, the calculation gives 170.9 meV/atom.

***

The following is a DFT calculation (PBE) of a relaxed ZnCrCo2 crystal.

a b c (Å): 3.4921 3.4921 7.6330
angles (deg): 90.00 90.00 90.00
Space group I-4m2 (No. 119)
One atom of each set of equivalent atoms:
Zn (0.0000, 0.0000, 0.0000)
Cr (0.0000, 0.5000, 0.2500)
Co (0.0000, 0.0000, 0.5000)
Co (0.0000, 0.5000, 0.7500)

Results
As for the density of states at the Fermi level: 9.04 states/eV/cell. As for the raw total energy: -6.1531 eV per atom. For the energy of formation, the calculation gives 124.2 meV/atom.

***

The following is a DFT calculation (PBE) of a relaxed Zn4CrCo crystal.

a b c (Å): 6.9082 6.9082 6.9082
angles (deg): 90.00 90.00 90.00
Space group F-43m (No. 216)
One atom of each set of equivalent atoms:
Zn (0.1253, 0.1253, 0.1253)
Cr (0.2500, 0.2500, 0.7500)
Co (0.0000, 0.0000, 0.5000)

Results
As for the density of states at the Fermi level: 12.52 states/eV/cell. As for the raw total energy: -3.4669 eV per atom. For the energy of formation, the calculation gives 170.6 meV/atom.

***

The following is a DFT calculation (PBE) of a relaxed ZnCr2Co crystal.

a b c (Å): 4.1396 4.1396 2.9193
angles (deg): 90.00 90.00 90.00
Space group P4/mmm (No. 123)
One atom of each set of equivalent atoms:
Zn (0.0000, 0.0000, 0.0000)
Cr (0.0000, 0.5000, 0.5000)
Co (0.5000, 0.5000, 0.0000)

Results
As for the density of states at the Fermi level: 4.73 states/eV/cell. As for the raw total energy: -6.5950 eV per atom. For the energy of formation, the calculation gives 311.6 meV/atom.

***

The following is a DFT calculation (PBE) of a relaxed ZnCr2Co2 crystal.

a b c (Å): 6.9331 6.9331 2.5058
angles (deg): 90.00 90.00 90.00
Space group P4/mbm (No. 127)
One atom of each set of equivalent atoms:
Zn (0.0000, 0.0000, 0.0000)
Cr (0.1160, 0.3840, 0.0000)
Co (0.1740, 0.6740, 0.5000)

Results
As for the density of states at the Fermi level: 7.73 states/eV/cell. As for the raw total energy: -6.7402 eV per atom. For the energy of formation, the calculation gives 206.3 meV/atom.

***

The following is a DFT calculation (PBE) of a relaxed ZnCrCo2 crystal.

a b c (Å): 2.8252 4.0767 8.2351
angles (deg): 90.00 90.00 90.00
Space group Imm2 (No. 44)
One atom of each set of equivalent atoms:
Zn (0.0000, 0.0000, 0.0000)
Cr (0.0000, 0.5000, 0.2308)
Co (0.0000, 0.0000, 0.4919)
Co (0.0000, 0.5000, 0.7549)

Results
As for the density of states at the Fermi level: 11.21 states/eV/cell. As for the raw total energy: -6.1059 eV per atom. For the energy of formation, the calculation gives 171.4 meV/atom.

***

The following is a DFT calculation (PBE) of a relaxed ZnCr2Co crystal.

a b c (Å): 4.1087 4.1087 5.7973
angles (deg): 90.00 90.00 90.00
Space group I-4m2 (No. 119)
One atom of each set of equivalent atoms:
Zn (0.0000, 0.0000, 0.0000)
Cr (0.0000, 0.0000, 0.5000)
Cr (0.0000, 0.5000, 0.7500)
Co (0.0000, 0.5000, 0.2500)

Results
As for the density of states at the Fermi level: 9.94 states/eV/cell. As for the raw total energy: -6.7348 eV per atom. For the energy of formation, the calculation gives 171.8 meV/atom.

***

The following is a DFT calculation (PBE) of a relaxed ZnCr2Co crystal.

a b c (Å): 6.5742 6.5742 4.7636
angles (deg): 90.00 90.00 90.00
Space group I-42d (No. 122)
One atom of each set of equivalent atoms:
Zn (0.0000, 0.0000, 0.0000)
Cr (0.2125, 0.7500, 0.6250)
Co (0.0000, 0.0000, 0.5000)

Results
As for the density of states at the Fermi level: 18.18 states/eV/cell. As for the raw total energy: -6.2900 eV per atom. For the energy of formation, the calculation gives 616.7 meV/atom.

***

The following is a DFT calculation (PBE) of a relaxed ZnCrCo2 crystal.

a b c (Å): 8.1539 2.5133 4.5627
angles (deg): 90.00 98.49 90.00
Space group C2/m (No. 12)
One atom of each set of equivalent atoms:
Zn (0.0000, 0.0000, 0.0000)
Cr (0.0000, 0.5000, 0.5000)
Co (0.2464, 0.0000, 0.7349)

Results
As for the density of states at the Fermi level: 9.40 states/eV/cell. As for the raw total energy: -6.1383 eV per atom. For the energy of formation, the calculation gives 139.0 meV/atom.

***

The following is a DFT calculation (PBE) of a relaxed ZnCrCo2 crystal.

a b c (Å): 8.5307 2.5441 4.3106
angles (deg): 90.00 101.66 90.00
Space group Cm (No. 8)
One atom of each set of equivalent atoms:
Zn (0.0000, 0.0000, 0.0000)
Cr (0.2353, 0.0000, 0.6879)
Co (0.2535, 0.5000, 0.2084)
Co (0.4896, 0.0000, 0.4990)

Results
As for the density of states at the Fermi level: 9.25 states/eV/cell. As for the raw total energy: -6.1555 eV per atom. For the energy of formation, the calculation gives 121.8 meV/atom.

***

The following is a DFT calculation (PBE) of a relaxed Zn3CrCo crystal.

a b c (Å): 4.4832 4.4832 4.4832
angles (deg): 90.00 90.00 90.00
Space group Pm-3m (No. 221)
One atom of each set of equivalent atoms:
Zn (0.0000, 0.0000, 0.5000)
Cr (0.5000, 0.5000, 0.5000)
Co (0.0000, 0.0000, 0.0000)

Results
As for the density of states at the Fermi level: 2.40 states/eV/cell. As for the raw total energy: -3.5180 eV per atom. For the energy of formation, the calculation gives 592.2 meV/atom. Its energy above the most stable polymorph in this dataset is 0.000 eV per atom.

***

The following is a DFT calculation (PBE) of a relaxed ZnCr2Co crystal.

a b c (Å): 8.3299 2.4904 4.5833
angles (deg): 90.00 97.31 90.00
Space group Cm (No. 8)
One atom of each set of equivalent atoms:
Zn (0.0000, 0.0000, 0.0000)
Cr (0.0179, 0.5000, 0.5085)
Cr (0.2548, 0.5000, 0.2643)
Co (0.2507, 0.0000, 0.7598)

Results
As for the density of states at the Fermi level: 8.69 states/eV/cell. As for the raw total energy: -6.6967 eV per atom. For the energy of formation, the calculation gives 210.0 meV/atom.

***

Magnetic moment for every record listed, in sequence, given in μB/cell: 0.000 5.249 2.623 0.000 2.256 12.193 5.172 0.000 7.667 1.813 0.000 3.925 0.879 4.638 0.001.